No. 1
A plane-wave DFT calculation with PBE-GGA was carried out for K5C4Br after structural relaxation.

```
K5C4Br
1.0
-4.961 4.961 3.169
4.961 -4.961 3.169
4.961 4.961 -3.169
K C Br
5 4 1
Direct
0.000 0.000 0.000
0.187 0.391 0.579
0.391 0.813 0.204
0.609 0.187 0.796
0.813 0.609 0.421
0.104 0.698 0.801
0.302 0.104 0.406
0.698 0.896 0.594
0.896 0.302 0.199
0.500 0.500 0.000
```

Calculated values
Raw formation energy = 1.496 eV/atom
V = 31.20 Å³/atom

---

No. 2
A plane-wave DFT calculation with PBE-GGA was carried out for KCBr after structural relaxation.

```
KCBr
1.0
9.338 0.000 0.000
0.000 2.803 0.000
0.000 0.000 16.045
K C Br
4 4 4
Direct
0.091 0.250 0.165
0.409 0.750 0.665
0.591 0.250 0.335
0.909 0.750 0.835
0.002 0.750 0.004
0.498 0.250 0.504
0.502 0.750 0.496
0.998 0.250 0.996
0.106 0.250 0.697
0.394 0.750 0.197
0.606 0.250 0.803
0.894 0.750 0.303
```

Calculated values
Raw formation energy = -0.137 eV/atom
Density of states at the Fermi level = 0.249 states/eV/atom
V = 35.00 Å³/atom

---

No. 3
A plane-wave DFT calculation with PBE-GGA was carried out for KCBr2 after structural relaxation.

```
KCBr2
1.0
5.147 0.000 0.000
-2.573 4.457 0.000
0.000 0.000 23.291
K C Br
3 3 6
Direct
0.000 0.000 0.000
0.333 0.667 0.667
0.667 0.333 0.333
0.000 0.000 0.500
0.333 0.667 0.167
0.667 0.333 0.833
0.000 0.000 0.402
0.000 0.000 0.598
0.333 0.667 0.068
0.333 0.667 0.265
0.667 0.333 0.735
0.667 0.333 0.932
```

Calculated values
Raw formation energy = 0.684 eV/atom
Relative energy among the computed polymorphs = 157.3 meV/atom
Density of states at the Fermi level = 2.597 states/eV/atom
V = 44.52 Å³/atom

---

No. 4
A plane-wave DFT calculation with PBE-GGA was carried out for KCBr2 after structural relaxation.

```
KCBr2
1.0
6.427 0.000 0.000
0.000 6.427 0.000
0.000 0.000 12.690
K C Br
4 4 8
Direct
0.000 0.000 0.000
0.000 0.500 0.250
0.500 0.000 0.750
0.500 0.500 0.500
0.000 0.000 0.500
0.000 0.500 0.750
0.500 0.000 0.250
0.500 0.500 0.000
0.096 0.250 0.625
0.250 0.596 0.875
0.250 0.904 0.375
0.404 0.250 0.125
0.596 0.750 0.125
0.750 0.096 0.375
0.750 0.404 0.875
0.904 0.750 0.625
```

Calculated values
Raw formation energy = 0.527 eV/atom
Relative energy among the computed polymorphs = 0.0 meV/atom
Density of states at the Fermi level = 0.002 states/eV/atom
V = 32.76 Å³/atom

---

No. 5
A plane-wave DFT calculation with PBE-GGA was carried out for K2CBr after structural relaxation.

```
K2CBr
1.0
7.780 0.000 0.000
0.000 7.780 0.000
0.000 0.000 7.780
K C Br
8 4 4
Direct
0.250 0.250 0.250
0.250 0.250 0.750
0.250 0.750 0.250
0.250 0.750 0.750
0.750 0.250 0.250
0.750 0.250 0.750
0.750 0.750 0.250
0.750 0.750 0.750
0.000 0.000 0.000
0.000 0.500 0.500
0.500 0.000 0.500
0.500 0.500 0.000
0.000 0.000 0.500
0.000 0.500 0.000
0.500 0.000 0.000
0.500 0.500 0.500
```

Calculated values
Raw formation energy = 0.340 eV/atom
Relative energy among the computed polymorphs = 0.0 meV/atom
Density of states at the Fermi level = 0.000 states/eV/atom
V = 29.43 Å³/atom

---

No. 6
A plane-wave DFT calculation with PBE-GGA was carried out for K2CBr after structural relaxation.

```
K2CBr
1.0
8.028 0.000 0.000
0.000 8.028 0.000
0.000 0.000 9.484
K C Br
8 4 4
Direct
0.219 0.250 0.125
0.250 0.719 0.375
0.250 0.781 0.875
0.281 0.250 0.625
0.719 0.750 0.625
0.750 0.219 0.875
0.750 0.281 0.375
0.781 0.750 0.125
0.000 0.000 0.000
0.000 0.500 0.250
0.500 0.000 0.750
0.500 0.500 0.500
0.000 0.000 0.500
0.000 0.500 0.750
0.500 0.000 0.250
0.500 0.500 0.000
```

Calculated values
Raw formation energy = 0.346 eV/atom
Relative energy among the computed polymorphs = 6.0 meV/atom
Density of states at the Fermi level = 0.000 states/eV/atom
V = 38.20 Å³/atom

---

No. 7
A plane-wave DFT calculation with PBE-GGA was carried out for KC2Br after structural relaxation.

```
KC2Br
1.0
6.417 0.000 0.000
0.000 6.417 0.000
0.000 0.000 7.280
K C Br
4 8 4
Direct
0.000 0.000 0.000
0.000 0.500 0.250
0.500 0.000 0.750
0.500 0.500 0.500
0.147 0.750 0.625
0.250 0.147 0.375
0.250 0.353 0.875
0.353 0.750 0.125
0.647 0.250 0.125
0.750 0.647 0.875
0.750 0.853 0.375
0.853 0.250 0.625
0.000 0.000 0.500
0.000 0.500 0.750
0.500 0.000 0.250
0.500 0.500 0.000
```

Calculated values
Raw formation energy = 2.329 eV/atom
Relative energy among the computed polymorphs = 0.0 meV/atom
Density of states at the Fermi level = 0.000 states/eV/atom
V = 18.74 Å³/atom

---

No. 8
A plane-wave DFT calculation with PBE-GGA was carried out for K3CBr after structural relaxation.

```
K3CBr
1.0
5.668 0.000 0.000
0.000 5.668 0.000
0.000 0.000 5.668
K C Br
3 1 1
Direct
0.000 0.000 0.500
0.000 0.500 0.000
0.500 0.000 0.000
0.000 0.000 0.000
0.500 0.500 0.500
```

Calculated values
Raw formation energy = 0.221 eV/atom
Relative energy among the computed polymorphs = 0.0 meV/atom
Density of states at the Fermi level = 0.600 states/eV/atom
V = 36.42 Å³/atom

---

No. 9
A plane-wave DFT calculation with PBE-GGA was carried out for KMn2CBr after structural relaxation.

```
KMn2CBr
1.0
6.619 0.000 0.000
0.000 6.619 0.000
0.000 0.000 5.716
K Mn C Br
1 2 1 1
Direct
0.000 0.000 0.000
0.000 0.500 0.000
0.500 0.000 0.000
0.500 0.500 0.500
0.000 0.000 0.500
```

Calculated values
Raw formation energy = 2.391 eV/atom
Density of states at the Fermi level = 0.781 states/eV/atom
V = 50.08 Å³/atom

---

No. 10
A plane-wave DFT calculation with PBE-GGA was carried out for KCBrN2 after structural relaxation.

```
KCBrN2
1.0
5.429 0.000 0.000
0.000 5.429 0.000
0.000 0.000 6.136
K C Br N
1 1 1 2
Direct
0.000 0.000 0.000
0.500 0.500 0.500
0.000 0.000 0.500
0.000 0.500 0.000
0.500 0.000 0.000
```

Calculated values
Raw formation energy = 3.046 eV/atom
Density of states at the Fermi level = 0.765 states/eV/atom
V = 36.18 Å³/atom